This record from Alexandria describes an optimized crystal structure of Pm4In5Hg2. The functional is PBE.

The total energy comes out at -38.03 eV/cell. The energy relative to the elements is -430 meV/atom. For the density of states at the Fermi level, the calculation gives 9.6 states/eV per cell. The space group is P2/m, No. 10.

Cell: 3.6179 8.0413 10.3444 Å, 94.66 90.00 90.00°
Fractional positions:
Pm  0.5000  0.2715  0.4418
Pm  0.5000  0.1740  0.8843
Hg  0.0000  0.0641  0.6372
In  0.0000  0.8119  0.8387
In  0.0000  0.1881  0.1613
Pm  0.5000  0.7285  0.5582
In  0.0000  0.4452  0.7011
In  0.0000  0.5000  0.0000
Pm  0.5000  0.8260  0.1157
Hg  0.0000  0.9359  0.3628
In  0.0000  0.5548  0.2989


This record from Alexandria describes an optimized crystal structure of BeGe2Br. The functional is PBE.

The total energy comes out at -11.53 eV/cell. As for the formation energy from raw total energies: 776 meV/atom. For the density of states at the Fermi level, the calculation gives 2.9 states/eV per cell. The space group is Fm-3m, No. 225.

Cell: 4.7741 4.7741 4.7741 Å, 60.00 60.00 60.00°
Fractional positions:
Br  0.5000  0.5000  0.5000
Be  0.0000  0.0000  0.0000
Ge  0.2500  0.2500  0.2500
Ge  0.7500  0.7500  0.7500


This record from Alexandria describes an optimized crystal structure of TmSc3Rh4. The functional is PBE.

The total energy comes out at -60.83 eV/cell. The energy relative to the elements is -995 meV/atom. For the density of states at the Fermi level, the calculation gives 3.5 states/eV per cell. The space group is P4/mmm, No. 123.

Cell: 3.2134 3.2134 13.4964 Å, 90.00 90.00 90.00°
Fractional positions:
Rh  0.0000  0.0000  0.3783
Rh  0.0000  0.0000  0.1353
Tm  0.5000  0.5000  0.0000
Rh  0.0000  0.0000  0.6217
Sc  0.5000  0.5000  0.5000
Sc  0.5000  0.5000  0.2552
Rh  0.0000  0.0000  0.8647
Sc  0.5000  0.5000  0.7448


This record from Alexandria describes an optimized crystal structure of YAg2Br. The functional is PBE.

The total energy comes out at -15.20 eV/cell. As for the formation energy from raw total energies: -340 meV/atom. For the density of states at the Fermi level, the calculation gives 1.9 states/eV per cell. The space group is P2/m, No. 10.

Cell: 3.4198 4.6962 6.5231 Å, 62.58 90.00 90.00°
Fractional positions:
Ag  0.5000  0.5000  0.0000
Ag  0.0000  0.0000  0.0000
Br  0.5000  0.5000  0.5000
Y  0.0000  0.0000  0.5000


This record from Alexandria describes an optimized crystal structure of NaNdGaSn. The functional is PBE.

The total energy comes out at -14.45 eV/cell. The energy relative to the elements is -333 meV/atom. For the density of states at the Fermi level, the calculation gives 1.9 states/eV per cell. The space group is F-43m, No. 216.

Cell: 5.2794 5.2794 5.2794 Å, 60.00 60.00 60.00°
Fractional positions:
Sn  0.2500  0.2500  0.2500
Ga  0.7500  0.7500  0.7500
Nd  0.0000  0.0000  0.0000
Na  0.5000  0.5000  0.5000